GGA+U CsLaCoO4, optimized geometry; space-group type = No. 11; M_tot = 5.95 Bohr magnetons per cell; electronic total energy = -6.260 eV/atom
1.0
5.887 0.000 0.000
0.000 5.482 0.000
-0.314 0.000 8.513
Cs La Co O
2 2 2 8
Cartesian
1.322 1.371 3.268 Cs
4.251 4.112 5.245 Cs
1.552 4.112 0.283 La
4.021 1.371 8.230 La
1.038 1.371 6.908 Co
4.535 4.112 1.605 Co
0.189 4.112 2.410 O
0.737 1.371 0.240 O
2.221 0.066 6.995 O
2.221 2.675 6.995 O
3.352 2.807 1.518 O
3.352 5.416 1.518 O
4.835 4.112 8.273 O
5.384 1.371 6.103 O